Zr4Hg5Au2 after structural relaxation. Source: the Alexandria database, functional PBE-GGA.

Computed properties:
The value obtained for the magnetization is 0.00 μB per atom. As for the volume: 233.5 Å³/cell. Its space-group type is P2/m (10). The calculation puts the formation energy at -240 kJ/mol of formula units. As for the density of states at the Fermi level: 6.694 states/eV per cell. The total energy comes out at -44.74 eV per cell.

The structure in POSCAR format:
```
Zr4Hg5Au2
1.0
3.0361 0.0000 0.0000
0.0000 7.7194 -0.0476
0.0000 -0.8065 9.9666
Zr Hg Au
4 5 2
direct
0.5000 0.7362 0.5568 Zr
0.5000 0.1595 0.8840 Zr
0.5000 0.2638 0.4432 Zr
0.5000 0.8405 0.1160 Zr
0.0000 0.5561 0.3071 Hg
0.0000 0.1871 0.1592 Hg
0.0000 0.5000 0.0000 Hg
0.0000 0.8129 0.8408 Hg
0.0000 0.4439 0.6929 Hg
0.0000 0.0641 0.6368 Au
0.0000 0.9359 0.3632 Au
```